Entry 1:
DFT (GGA-PBE) results for a relaxed structure of CaDyNiIr.

Summary:
Space-group type: No. 216

Structure (extended XYZ):
```
4
Lattice="-4.030 1.214 -2.333 -2.482 -3.342 -2.415 -4.272 -1.482 1.646" Properties=species:S:1:pos:R:3 pbc="T T T"
Ni -2.696 -0.902 -0.775
Ca 0.000 0.000 0.000
Ir -8.088 -2.707 -2.326
Dy -5.392 -1.805 -1.551
```


Entry 2:
DFT (GGA-PBE) results for a relaxed structure of LiNdAu2.

Summary:
Space-group type: No. 123

Structure (extended XYZ):
```
4
Lattice="3.714 0.000 0.000 0.000 4.877 0.000 0.000 0.000 4.877" Properties=species:S:1:pos:R:3 pbc="T T T"
Li 1.857 2.439 2.439
Au 0.000 2.439 0.000
Au 0.000 0.000 2.439
Nd 1.857 0.000 0.000
```


| no. | energy of formation (kJ/mol of atoms) |
| --- | --- |
| 1 | -37.64 |
| 2 | -57.43 |